1.
VASP calculation (PBE) on a geometry-optimized ErHfBe17 structure.

Results
E_form = -3.63 eV/f.u.
Total DFT energy (no corrections) = -244.47 eV for the cell shown

```
data_ErHfBe17
_chemical_formula_sum 'Er3 Hf3 Be51'
_cell_length_a 7.5757
_cell_length_b 7.5757
_cell_length_c 11.0509
_cell_angle_alpha 90.00
_cell_angle_beta 90.00
_cell_angle_gamma 120.00
_symmetry_space_group_name_H-M 'R 3 m'
_symmetry_Int_Tables_number 160
_symmetry_space_group_name_Hall 'R 3 -2"'
loop_
_atom_site_label
_atom_site_fract_x
_atom_site_fract_y
_atom_site_fract_z
Er1 0.0000 0.0000 0.0000
Hf1 0.0000 0.0000 0.6759
Be1 0.0000 0.0000 0.2447
Be2 0.0000 0.0000 0.4370
Be3 0.0015 0.2852 0.3387
Be4 0.0011 0.5006 0.4972
Be5 0.0022 0.5011 0.1795
Be6 0.1683 0.3366 0.1738
```

---

2.
VASP calculation (PBE) on a geometry-optimized ErHfBe4 structure.

Results
E_form = 0.22 eV/f.u.
Total DFT energy (no corrections) = -116.82 eV for the cell shown

```
data_ErHfBe4
_chemical_formula_sum 'Er4 Hf4 Be16'
_cell_length_a 6.883
_cell_length_b 6.883
_cell_length_c 6.883
_cell_angle_alpha 90.00
_cell_angle_beta 90.00
_cell_angle_gamma 90.00
_symmetry_space_group_name_H-M 'F -4 3 m'
_symmetry_Int_Tables_number 216
_symmetry_space_group_name_Hall 'F -4 2 3'
loop_
_atom_site_label
_atom_site_fract_x
_atom_site_fract_y
_atom_site_fract_z
Er1 0.000 0.000 0.000
Hf1 0.250 0.250 0.250
Be1 0.122 0.122 0.622
```

---

3.
VASP calculation (PBE) on a geometry-optimized ErHfBeIr structure.

Results
E_form = -1.58 eV/f.u.
Total DFT energy (no corrections) = -114.72 eV for the cell shown

```
data_ErHfBeIr
_chemical_formula_sum 'Er4 Hf4 Be4 Ir4'
_cell_length_a 6.626
_cell_length_b 6.626
_cell_length_c 6.626
_cell_angle_alpha 90.00
_cell_angle_beta 90.00
_cell_angle_gamma 90.00
_symmetry_space_group_name_H-M 'F -4 3 m'
_symmetry_Int_Tables_number 216
_symmetry_space_group_name_Hall 'F -4 2 3'
loop_
_atom_site_label
_atom_site_fract_x
_atom_site_fract_y
_atom_site_fract_z
Er1 0.000 0.000 0.000
Hf1 0.000 0.000 0.500
Be1 0.250 0.250 0.250
Ir1 0.250 0.250 0.750
```

---

4.
VASP calculation (PBE) on a geometry-optimized ErHfBeNi structure.

Results
E_form = -0.44 eV/f.u.
Total DFT energy (no corrections) = -97.85 eV for the cell shown

```
data_ErHfBeNi
_chemical_formula_sum 'Er4 Hf4 Be4 Ni4'
_cell_length_a 6.523
_cell_length_b 6.523
_cell_length_c 6.523
_cell_angle_alpha 90.00
_cell_angle_beta 90.00
_cell_angle_gamma 90.00
_symmetry_space_group_name_H-M 'F -4 3 m'
_symmetry_Int_Tables_number 216
_symmetry_space_group_name_Hall 'F -4 2 3'
loop_
_atom_site_label
_atom_site_fract_x
_atom_site_fract_y
_atom_site_fract_z
Er1 0.000 0.000 0.000
Hf1 0.000 0.000 0.500
Be1 0.250 0.250 0.250
Ni1 0.250 0.250 0.750
```

---

5.
VASP calculation (PBE) on a geometry-optimized ErHfBeTc structure.

Results
E_form = -0.32 eV/f.u.
Total DFT energy (no corrections) = -115.70 eV for the cell shown

```
data_ErHfBeTc
_chemical_formula_sum 'Er4 Hf4 Be4 Tc4'
_cell_length_a 6.614
_cell_length_b 6.614
_cell_length_c 6.614
_cell_angle_alpha 90.00
_cell_angle_beta 90.00
_cell_angle_gamma 90.00
_symmetry_space_group_name_H-M 'F -4 3 m'
_symmetry_Int_Tables_number 216
_symmetry_space_group_name_Hall 'F -4 2 3'
loop_
_atom_site_label
_atom_site_fract_x
_atom_site_fract_y
_atom_site_fract_z
Er1 0.000 0.000 0.000
Hf1 0.000 0.000 0.500
Be1 0.250 0.250 0.750
Tc1 0.250 0.250 0.250
```

---

6.
VASP calculation (PBE) on a geometry-optimized ErBeHg structure.

Results
E_form = -0.65 eV/f.u.
Total DFT energy (no corrections) = -36.96 eV for the cell shown

```
data_ErBeHg
_chemical_formula_sum 'Er4 Be4 Hg4'
_cell_length_a 7.101
_cell_length_b 4.389
_cell_length_c 7.515
_cell_angle_alpha 90.00
_cell_angle_beta 90.00
_cell_angle_gamma 90.00
_symmetry_space_group_name_H-M 'P n m a'
_symmetry_Int_Tables_number 62
_symmetry_space_group_name_Hall '-P 2ac 2n'
loop_
_atom_site_label
_atom_site_fract_x
_atom_site_fract_y
_atom_site_fract_z
Er1 0.005 0.250 0.216
Be1 0.201 0.750 0.417
Hg1 0.209 0.250 0.585
```

---

Repeat the first record exactly.
VASP calculation (PBE) on a geometry-optimized ErHfBe17 structure.

Results
E_form = -3.63 eV/f.u.
Total DFT energy (no corrections) = -244.47 eV for the cell shown

```
data_ErHfBe17
_chemical_formula_sum 'Er3 Hf3 Be51'
_cell_length_a 7.5757
_cell_length_b 7.5757
_cell_length_c 11.0509
_cell_angle_alpha 90.00
_cell_angle_beta 90.00
_cell_angle_gamma 120.00
_symmetry_space_group_name_H-M 'R 3 m'
_symmetry_Int_Tables_number 160
_symmetry_space_group_name_Hall 'R 3 -2"'
loop_
_atom_site_label
_atom_site_fract_x
_atom_site_fract_y
_atom_site_fract_z
Er1 0.0000 0.0000 0.0000
Hf1 0.0000 0.0000 0.6759
Be1 0.0000 0.0000 0.2447
Be2 0.0000 0.0000 0.4370
Be3 0.0015 0.2852 0.3387
Be4 0.0011 0.5006 0.4972
Be5 0.0022 0.5011 0.1795
Be6 0.1683 0.3366 0.1738
```